# Y4SnPd2

Crystalline Y4SnPd2 at its relaxed geometry (PBE-GGA, the Alexandria database).

## Properties
- Energy of formation: -481 kJ/mol of formula units
- Mass density: 6.321 g/cm3

Unit cell a=8.669 b=15.168 c=6.976 alpha=90.00 beta=128.09 gamma=90.00
Space group Cc (No. 9)
Unique sites:
Y (0.000, 0.026, 0.000) x4
Y (0.037, 0.459, 0.873) x4
Y (0.072, 0.251, 0.164) x4
Y (0.262, 0.174, 0.833) x4
Sn (0.253, 0.367, 0.657) x4
Pd (0.281, 0.088, 0.479) x4
Pd (0.366, 0.333, 0.144) x4


# Y6SnPd2

Crystalline Y6SnPd2 at its relaxed geometry (PBE-GGA, the Alexandria database).

## Properties
- Energy of formation: -527 kJ/mol of formula units
- Mass density: 5.880 g/cm3

Unit cell a=9.493 b=9.807 c=10.497 alpha=90.00 beta=90.00 gamma=90.00
Space group Immm (No. 71)
Unique sites:
Y (0.000, 0.199, 0.236) x8
Y (0.198, 0.500, 0.172) x8
Y (0.210, 0.317, 0.500) x8
Sn (0.000, 0.000, 0.000) x2
Sn (0.000, 0.000, 0.500) x2
Pd (0.000, 0.344, 0.000) x4
Pd (0.000, 0.500, 0.368) x4


# YZr2SnPd

Crystalline YZr2SnPd at its relaxed geometry (PBE-GGA, the Alexandria database).

## Properties
- Energy of formation: 613 kJ/mol of formula units
- Mass density: 5.687 g/cm3

Unit cell a=5.125 b=5.125 c=5.519 alpha=90.00 beta=90.00 gamma=90.00
Space group P4/mmm (No. 123)
Unique sites:
Y (0.000, 0.000, 0.000) x1
Zr (0.000, 0.500, 0.000) x2
Sn (0.000, 0.000, 0.500) x1
Pd (0.500, 0.500, 0.500) x1


# Yb2Sn5Pd3

Crystalline Yb2Sn5Pd3 at its relaxed geometry (PBE-GGA, the Alexandria database).

## Properties
- Energy of formation: -652 kJ/mol of formula units
- Mass density: 9.310 g/cm3

Unit cell a=7.416 b=4.524 c=26.771 alpha=90.00 beta=90.00 gamma=90.00
Space group Pnma (No. 62)
Unique sites:
Yb (0.215, 0.250, 0.227) x4
Yb (0.248, 0.250, 0.923) x4
Sn (0.036, 0.750, 0.543) x4
Sn (0.041, 0.250, 0.043) x4
Sn (0.092, 0.250, 0.346) x4
Sn (0.120, 0.250, 0.799) x4
Sn (0.212, 0.750, 0.131) x4
Pd (0.003, 0.250, 0.701) x4
Pd (0.038, 0.750, 0.858) x4
Pd (0.242, 0.250, 0.528) x4


# YbSnPd

Crystalline YbSnPd at its relaxed geometry (PBE-GGA, the Alexandria database).

## Properties
- Energy of formation: -242 kJ/mol of formula units
- Mass density: 9.867 g/cm3

Unit cell a=7.5357 b=7.5357 c=4.0878 alpha=90.00 beta=90.00 gamma=120.00
Space group P-62m (No. 189)
Unique sites:
Yb (0.0000, 0.5915, 0.0000) x3
Sn (0.0000, 0.2575, 0.5000) x3
Pd (0.0000, 0.0000, 0.0000) x1
Pd (0.3333, 0.6667, 0.5000) x2


# Zn5SnPd6

Crystalline Zn5SnPd6 at its relaxed geometry (PBE-GGA, the Alexandria database).

## Properties
- Energy of formation: -605 kJ/mol of formula units
- Mass density: 9.929 g/cm3

Unit cell a=4.109 b=7.140 c=6.511 alpha=90.00 beta=108.29 gamma=90.00
Space group P2/m (No. 10)
Unique sites:
Zn (0.000, 0.000, 0.000) x1
Zn (0.325, 0.500, 0.652) x2
Zn (0.333, 0.000, 0.666) x2
Sn (0.000, 0.500, 0.000) x1
Pd (0.168, 0.243, 0.336) x4
Pd (0.500, 0.239, 0.000) x2